TbMgCuSe3 GGA-PBE relaxed; total DFT energy (no corrections) = -4.69 eV/atom; raw formation energy = -1.226 eV per atom; spin magnetization = 0.00 μB per formula unit
1.0
3.890 0.000 0.000
0.000 7.890 0.130
0.000 -1.957 8.503
Tb Mg Cu Se
2 2 2 6
Direct
0.250 0.183 0.247 Tb
0.750 0.817 0.753 Tb
0.250 0.662 0.160 Mg
0.750 0.338 0.840 Mg
0.250 0.077 0.579 Cu
0.750 0.923 0.421 Cu
0.750 0.908 0.136 Se
0.250 0.092 0.864 Se
0.250 0.749 0.487 Se
0.750 0.251 0.513 Se
0.750 0.417 0.154 Se
0.250 0.583 0.846 Se

***

Ac3La2Sm8 GGA-PBE relaxed; total DFT energy (no corrections) = -4.43 eV/atom; spin magnetization = 0.00 μB per formula unit; formation energy = 2.4 eV per formula unit
1.0
-1.208 2.660 2.190
-11.127 -1.675 -4.101
-3.715 -15.045 16.227
Ac La Sm
6 4 16
Direct
0.000 0.000 0.000 Ac
0.000 0.500 0.500 Ac
0.000 0.615 0.206 Ac
0.000 0.385 0.794 Ac
0.000 0.115 0.294 Ac
0.000 0.885 0.706 Ac
0.500 0.833 0.121 La
0.500 0.167 0.879 La
0.500 0.333 0.379 La
0.500 0.667 0.621 La
0.000 0.701 0.952 Sm
0.000 0.299 0.048 Sm
0.000 0.201 0.548 Sm
0.000 0.799 0.452 Sm
0.000 0.084 0.147 Sm
0.000 0.916 0.853 Sm
0.000 0.584 0.353 Sm
0.000 0.416 0.647 Sm
0.500 0.836 0.302 Sm
0.500 0.164 0.698 Sm
0.500 0.336 0.198 Sm
0.500 0.664 0.802 Sm
0.500 0.553 0.070 Sm
0.500 0.447 0.930 Sm
0.500 0.053 0.430 Sm
0.500 0.947 0.570 Sm

***

Sm3Ga3Co GGA-PBE relaxed; total DFT energy (no corrections) = -4.85 eV/atom; spin magnetization = 0.00 μB per formula unit; formation energy = -3.6 eV per formula unit
1.0
3.870 0.000 0.583
1.884 5.668 0.629
-0.198 0.408 14.451
Sm Ga Co
6 6 2
Direct
0.526 0.337 0.611 Sm
0.474 0.663 0.389 Sm
0.261 0.235 0.243 Sm
0.739 0.765 0.757 Sm
0.382 0.315 0.920 Sm
0.618 0.685 0.080 Sm
0.826 0.809 0.539 Ga
0.174 0.191 0.461 Ga
0.102 0.871 0.925 Ga
0.898 0.129 0.075 Ga
0.975 0.817 0.232 Ga
0.025 0.183 0.768 Ga
0.781 0.059 0.378 Co
0.219 0.941 0.622 Co

***

Al5Sb3O12 GGA-PBE relaxed; total DFT energy (no corrections) = -6.78 eV/atom; raw formation energy = -2.252 eV per atom; spin magnetization = 0.00 μB per formula unit
1.0
-0.916 2.990 10.141
-5.119 -9.181 -1.457
10.260 -1.249 -2.406
Sb Al O
12 20 48
Direct
0.750 0.375 0.125 Sb
0.875 0.750 0.125 Sb
0.375 0.750 0.625 Sb
0.250 0.125 0.375 Sb
0.875 0.125 0.250 Sb
0.375 0.625 0.250 Sb
0.625 0.375 0.750 Sb
0.125 0.875 0.750 Sb
0.750 0.875 0.625 Sb
0.625 0.250 0.375 Sb
0.125 0.250 0.875 Sb
0.250 0.625 0.875 Sb
0.125 0.375 0.250 Al
0.000 0.500 0.000 Al
0.000 0.000 0.000 Al
0.375 0.250 0.125 Al
0.500 0.000 0.500 Al
0.500 0.500 0.000 Al
0.125 0.750 0.375 Al
0.750 0.125 0.875 Al
0.750 0.625 0.375 Al
0.375 0.125 0.750 Al
0.625 0.875 0.250 Al
0.500 0.500 0.500 Al
0.500 0.000 0.000 Al
0.000 0.000 0.500 Al
0.250 0.375 0.625 Al
0.250 0.875 0.125 Al
0.000 0.500 0.500 Al
0.875 0.250 0.625 Al
0.625 0.750 0.875 Al
0.875 0.625 0.750 Al
0.695 0.115 0.015 O
0.320 0.515 0.400 O
0.985 0.385 0.305 O
0.515 0.195 0.115 O
0.580 0.695 0.680 O
0.985 0.600 0.180 O
0.320 0.805 0.420 O
0.100 0.920 0.115 O
0.600 0.985 0.680 O
0.695 0.580 0.180 O
0.805 0.485 0.385 O
0.820 0.900 0.015 O
0.115 0.695 0.515 O
0.385 0.400 0.080 O
0.080 0.900 0.385 O
0.420 0.115 0.600 O
0.080 0.180 0.195 O
0.485 0.680 0.100 O
0.820 0.920 0.305 O
0.115 0.420 0.100 O
0.385 0.985 0.805 O
0.600 0.615 0.420 O
0.900 0.820 0.515 O
0.805 0.320 0.920 O
0.400 0.385 0.580 O
0.100 0.180 0.485 O
0.195 0.680 0.080 O
0.180 0.080 0.695 O
0.615 0.015 0.195 O
0.885 0.580 0.900 O
0.515 0.320 0.900 O
0.580 0.885 0.400 O
0.920 0.820 0.805 O
0.920 0.100 0.615 O
0.885 0.305 0.485 O
0.180 0.100 0.985 O
0.615 0.600 0.920 O
0.400 0.015 0.320 O
0.305 0.420 0.820 O
0.195 0.515 0.615 O
0.900 0.080 0.885 O
0.680 0.195 0.580 O
0.485 0.805 0.885 O
0.015 0.400 0.820 O
0.420 0.305 0.320 O
0.015 0.615 0.695 O
0.680 0.485 0.600 O
0.305 0.885 0.985 O

***

AlNi2Ge GGA-PBE relaxed; total DFT energy (no corrections) = -5.35 eV/atom; spin magnetization = 0.00 μB per formula unit; formation energy = -1.5 eV per formula unit
1.0
3.084 0.000 0.000
0.000 4.002 0.000
0.000 0.000 4.002
Ni Ge Al
2 1 1
Direct
0.000 0.000 0.500 Ni
0.000 0.500 0.000 Ni
0.500 0.000 0.000 Ge
0.500 0.500 0.500 Al

***

ScIn4 GGA-PBE relaxed; total DFT energy (no corrections) = -3.60 eV/atom; energy above the lowest structure with this stoichiometry = 0.0 meV per atom; spin magnetization = 0.00 μB per formula unit; formation energy = -0.7 eV per formula unit
1.0
5.726 0.010 0.000
-4.072 4.026 0.000
-0.827 -2.018 5.294
In Sc
4 1
Direct
0.797 0.394 0.192 In
0.394 0.203 0.597 In
0.203 0.606 0.808 In
0.606 0.797 0.403 In
0.000 0.000 0.000 Sc

***

Cr2NiAg GGA-PBE relaxed; total DFT energy (no corrections) = -6.54 eV/atom; energy above the lowest structure with this stoichiometry = 142.9 meV per atom; spin magnetization = 0.00 μB per formula unit; formation energy = 1.7 eV per formula unit
1.0
4.645 0.003 -0.021
3.813 2.653 -0.021
0.874 0.275 4.371
Ag Cr Ni
1 2 1
Direct
0.250 0.250 0.250 Ag
0.009 0.009 0.931 Cr
0.491 0.491 0.569 Cr
0.750 0.750 0.750 Ni

***

V4GeOs GGA-PBE relaxed; total DFT energy (no corrections) = -8.63 eV/atom; spin magnetization = 0.00 μB per formula unit; formation energy = 0.5 eV per formula unit
1.0
4.854 0.000 -0.288
0.000 6.170 0.000
-1.746 -3.085 5.989
V Ge Os
8 2 2
Direct
0.172 0.689 0.379 V
0.375 0.086 0.712 V
0.000 0.175 0.000 V
0.625 0.374 0.288 V
0.828 0.311 0.621 V
0.625 0.914 0.288 V
0.000 0.825 0.000 V
0.375 0.626 0.712 V
0.263 0.499 0.997 Ge
0.737 0.501 0.003 Ge
0.804 0.801 0.602 Os
0.196 0.199 0.398 Os

***

LuH3Au GGA-PBE relaxed; total DFT energy (no corrections) = -3.95 eV/atom; spin magnetization = 0.00 μB per formula unit
1.0
3.724 0.000 0.005
0.000 4.779 0.000
-1.855 0.000 5.795
H Lu Au
6 2 2
Direct
0.702 0.971 0.402 H
0.298 0.029 0.598 H
0.298 0.471 0.598 H
0.702 0.529 0.402 H
0.063 0.250 0.132 H
0.937 0.750 0.868 H
0.849 0.250 0.697 Lu
0.151 0.750 0.303 Lu
0.562 0.250 0.132 Au
0.438 0.750 0.868 Au

***

CrNiBr2 GGA-PBE relaxed; total DFT energy (no corrections) = -4.44 eV/atom; energy above the lowest structure with this stoichiometry = 345.0 meV per atom; raw formation energy = 0.250 eV per atom; spin magnetization = 4.44 μB per formula unit
1.0
5.263 0.050 0.096
-2.701 4.329 0.461
-0.140 2.303 4.383
Br Cr Ni
2 1 1
Direct
0.000 0.000 0.000 Br
0.500 0.000 0.500 Br
0.000 0.500 0.500 Cr
0.500 0.500 0.000 Ni

***

CsTlHgAu2 GGA-PBE relaxed; total DFT energy (no corrections) = -2.06 eV/atom; energy above the lowest structure with this stoichiometry = 90.6 meV per atom; spin magnetization = 0.00 μB per formula unit; formation energy = -0.2 eV per formula unit
1.0
-1.601 5.138 1.267
-5.249 -1.372 -1.068
-0.725 -1.616 5.639
Cs Tl Au Hg
1 1 2 1
Direct
0.500 0.500 0.500 Cs
0.000 0.000 0.000 Tl
0.000 0.500 0.000 Au
0.500 0.000 0.000 Au
0.000 0.000 0.500 Hg

***

BaSrPRh GGA-PBE relaxed; total DFT energy (no corrections) = -4.81 eV/atom; spin magnetization = 0.00 μB per formula unit; formation energy = -2.9 eV per formula unit
1.0
4.757 0.000 0.000
0.000 4.530 0.000
-2.379 0.000 5.128
Ba Sr P Rh
1 1 1 1
Direct
0.150 0.000 0.301 Ba
0.857 0.500 0.713 Sr
0.539 0.500 0.079 P
0.454 0.000 0.908 Rh

***

HfCr2Co2 GGA-PBE relaxed; total DFT energy (no corrections) = -8.57 eV/atom; energy above the lowest structure with this stoichiometry = 0.0 meV per atom; spin magnetization = 0.00 μB per formula unit; formation energy = 0.5 eV per formula unit
1.0
-0.389 -1.027 3.611
3.706 -0.681 0.205
2.416 3.680 3.279
Co Hf Cr
2 1 2
Direct
0.750 0.250 0.500 Co
0.250 0.750 0.500 Co
0.000 0.000 0.000 Hf
0.388 0.388 0.224 Cr
0.612 0.612 0.776 Cr

***

LiAcDy2Te4 GGA-PBE relaxed; total DFT energy (no corrections) = -4.81 eV/atom; raw formation energy = -1.331 eV per atom; spin magnetization = 0.00 μB per formula unit
1.0
-2.546 -3.469 -1.034
4.586 -4.583 4.082
-5.673 2.765 4.695
Li Ac Dy Te
1 1 2 4
Direct
0.500 0.500 0.000 Li
0.000 0.000 0.000 Ac
0.500 0.000 0.500 Dy
0.000 0.500 0.500 Dy
0.500 0.269 0.265 Te
0.500 0.731 0.735 Te
0.000 0.258 0.742 Te
0.000 0.742 0.258 Te

***

CsTlF3 GGA-PBE relaxed; total DFT energy (no corrections) = -3.95 eV/atom; raw formation energy = -2.181 eV per atom; spin magnetization = 0.00 μB per formula unit
1.0
24.599 0.000 -1.227
0.000 5.895 0.000
-8.625 0.000 3.439
Cs Tl F
4 4 12
Direct
0.073 0.249 0.571 Cs
0.927 0.751 0.429 Cs
0.427 0.749 0.929 Cs
0.573 0.251 0.071 Cs
0.451 0.799 0.452 Tl
0.549 0.201 0.548 Tl
0.049 0.299 0.048 Tl
0.951 0.701 0.952 Tl
0.181 0.754 0.680 F
0.819 0.246 0.320 F
0.319 0.254 0.820 F
0.681 0.746 0.180 F
0.417 0.431 0.413 F
0.583 0.569 0.587 F
0.083 0.931 0.087 F
0.917 0.069 0.913 F
0.317 0.896 0.318 F
0.683 0.104 0.682 F
0.183 0.396 0.182 F
0.817 0.604 0.818 F

***

MgMoRu2 GGA-PBE relaxed; total DFT energy (no corrections) = -7.58 eV/atom; spin magnetization = 0.00 μB per formula unit; formation energy = 0.7 eV per formula unit
1.0
2.749 0.011 0.000
-1.091 2.523 0.000
0.000 0.000 8.820
Mg Mo Ru
1 1 2
Direct
0.500 0.500 0.250 Mg
0.500 0.500 0.750 Mo
0.000 0.000 0.993 Ru
0.000 0.000 0.507 Ru

***

Pr2Sb4Pd GGA-PBE relaxed; total DFT energy (no corrections) = -5.28 eV/atom; raw formation energy = -0.819 eV per atom; spin magnetization = 0.00 μB per formula unit
1.0
-1.750 -0.788 4.058
2.525 -3.693 0.372
7.128 5.287 4.101
Pr Sb Pd
2 4 1
Direct
0.500 0.000 0.760 Pr
0.000 0.500 0.240 Pr
0.500 0.000 0.141 Sb
0.000 0.500 0.859 Sb
0.500 0.500 0.500 Sb
0.000 0.000 0.500 Sb
0.500 0.500 0.000 Pd

***

CrInAs2 GGA-PBE relaxed; total DFT energy (no corrections) = -5.09 eV/atom; spin magnetization = 0.84 μB per formula unit; formation energy = 1.3 eV per formula unit
1.0
-7.966 3.816 0.832
-8.436 2.094 -1.778
-8.773 0.769 1.072
As Cr In
2 1 1
Direct
0.996 0.996 0.996 As
0.234 0.234 0.234 As
0.510 0.510 0.510 Cr
0.760 0.760 0.760 In

***

Pr3Nd4Ga4 GGA-PBE relaxed; total DFT energy (no corrections) = -4.53 eV/atom; spin magnetization = 0.00 μB per formula unit; formation energy = -4.3 eV per formula unit
1.0
3.717 0.000 0.000
0.000 9.245 0.000
-1.859 -4.623 9.283
Pr Nd Ga
3 4 4
Direct
0.095 0.095 0.190 Pr
0.905 0.905 0.810 Pr
0.000 0.500 0.000 Pr
0.332 0.152 0.664 Nd
0.668 0.487 0.336 Nd
0.668 0.848 0.336 Nd
0.332 0.513 0.664 Nd
0.273 0.773 0.546 Ga
0.727 0.227 0.454 Ga
0.500 0.776 0.000 Ga
0.500 0.224 0.000 Ga

***

SrYCo2 GGA-PBE relaxed; total DFT energy (no corrections) = -5.03 eV/atom; energy above the lowest structure with this stoichiometry = 586.8 meV per atom; spin magnetization = 1.49 μB per formula unit; formation energy = 2.2 eV per formula unit
1.0
-2.084 7.946 -0.137
-4.317 6.474 -2.637
-5.184 6.307 0.916
Co Sr Y
2 1 1
Direct
0.007 0.007 0.007 Co
0.493 0.493 0.493 Co
0.250 0.250 0.250 Sr
0.750 0.750 0.750 Y